[1]
A plane-wave DFT calculation with GGA-PBE was carried out for a relaxed structure of ScCu2Tc.

CIF file:
```
data_ScCu2Tc
_chemical_formula_sum 'Sc2 Cu4 Tc2'
_space_group_name_H-M_alt 'C 1 m 1'
_space_group_IT_number 8
_cell_length_a 9.1312
_cell_length_b 2.8502
_cell_length_c 4.6969
_cell_angle_alpha 90.00
_cell_angle_beta 104.28
_cell_angle_gamma 90.00
loop_
_space_group_symop_operation_xyz
'x,y,z'
'x,-y,z'
'x+1/2,y+1/2,z'
'x+1/2,-y+1/2,z'
loop_
_atom_site_label
_atom_site_fract_x
_atom_site_fract_y
_atom_site_fract_z
_atom_site_occupancy
Sc1 0.0000 0.0000 0.0000 1
Cu1 0.2569 0.5000 0.2484 1
Cu2 0.4859 0.0000 0.4967 1
Tc1 0.2339 0.0000 0.7156 1
```

Results
As for the total energy: -6.15 eV/atom. The calculation puts the density of states at the Fermi level at 2.518 states/eV/f.u.

=====

[2]
A plane-wave DFT calculation with GGA-PBE was carried out for a relaxed structure of TbPmNiAu.

CIF file:
```
data_TbPmNiAu
_chemical_formula_sum 'Tb2 Pm2 Ni2 Au2'
_space_group_name_H-M_alt 'A m m 2'
_space_group_IT_number 38
_cell_length_a 4.5959
_cell_length_b 3.8526
_cell_length_c 10.5272
_cell_angle_alpha 90.00
_cell_angle_beta 90.00
_cell_angle_gamma 90.00
loop_
_space_group_symop_operation_xyz
'x,y,z'
'-x,-y,z'
'-x,y,z'
'x,-y,z'
'x,y+1/2,z+1/2'
'-x,-y+1/2,z+1/2'
'-x,y+1/2,z+1/2'
'x,-y+1/2,z+1/2'
loop_
_atom_site_label
_atom_site_fract_x
_atom_site_fract_y
_atom_site_fract_z
_atom_site_occupancy
Tb1 0.0000 0.0000 0.0000 1
Pm1 0.5000 0.0000 0.2802 1
Ni1 0.5000 0.0000 0.5565 1
Au1 0.0000 0.0000 0.7142 1
```

Results
As for the total energy: -5.20 eV/atom. The calculation puts the density of states at the Fermi level at 2.602 states/eV/f.u.

=====

[3]
A plane-wave DFT calculation with GGA-PBE was carried out for a relaxed structure of Pu2Al3Fe.

CIF file:
```
data_Pu2Al3Fe
_chemical_formula_sum 'Pu6 Al9 Fe3'
_space_group_name_H-M_alt 'R -3 m'
_space_group_IT_number 166
_space_group_name_Hall '-R 3 2"'
_cell_length_a 5.5279
_cell_length_b 5.5279
_cell_length_c 12.6950
_cell_angle_alpha 90.00
_cell_angle_beta 90.00
_cell_angle_gamma 120.00
loop_
_atom_site_label
_atom_site_fract_x
_atom_site_fract_y
_atom_site_fract_z
_atom_site_occupancy
Pu1 0.0000 0.0000 0.1228 1
Al1 0.0000 0.5000 0.0000 1
Fe1 0.0000 0.0000 0.5000 1
```

Results
As for the total energy: -8.28 eV/atom. The calculation puts the density of states at the Fermi level at 12.052 states/eV/f.u.

=====

[4]
A plane-wave DFT calculation with GGA-PBE was carried out for a relaxed structure of MnFePt.

CIF file:
```
data_MnFePt
_chemical_formula_sum 'Mn1 Fe1 Pt1'
_space_group_name_H-M_alt 'P 3 m 1'
_space_group_IT_number 156
_cell_length_a 2.6983
_cell_length_b 2.6983
_cell_length_c 6.4036
_cell_angle_alpha 90.00
_cell_angle_beta 90.00
_cell_angle_gamma 120.00
loop_
_space_group_symop_operation_xyz
'x,y,z'
'-y,x-y,z'
'-x+y,-x,z'
'-y,-x,z'
'-x+y,y,z'
'x,x-y,z'
loop_
_atom_site_label
_atom_site_fract_x
_atom_site_fract_y
_atom_site_fract_z
_atom_site_occupancy
Mn1 0.0000 0.0000 0.0000 1
Fe1 0.3333 0.6667 0.6879 1
Pt1 0.6667 0.3333 0.3447 1
```

Results
As for the total energy: -7.87 eV/atom. The calculation puts the density of states at the Fermi level at 4.263 states/eV/f.u.

=====

[5]
A plane-wave DFT calculation with GGA-PBE was carried out for a relaxed structure of CdTc2Ag.

CIF file:
```
data_CdTc2Ag
_chemical_formula_sum 'Cd4 Tc8 Ag4'
_space_group_name_H-M_alt 'I -4 2 d'
_space_group_IT_number 122
_space_group_name_Hall 'I -4 2bw'
_cell_length_a 7.6107
_cell_length_b 7.6107
_cell_length_c 5.1366
_cell_angle_alpha 90.00
_cell_angle_beta 90.00
_cell_angle_gamma 90.00
loop_
_atom_site_label
_atom_site_fract_x
_atom_site_fract_y
_atom_site_fract_z
_atom_site_occupancy
Cd1 0.0000 0.0000 0.0000 1
Tc1 0.2414 0.2500 0.6250 1
Ag1 0.0000 0.0000 0.5000 1
```

Results
As for the total energy: -5.00 eV/atom. The calculation puts the density of states at the Fermi level at 3.846 states/eV/f.u.

=====

[6]
A plane-wave DFT calculation with GGA-PBE was carried out for a relaxed structure of Cr2FeHg.

CIF file:
```
data_Cr2FeHg
_chemical_formula_sum 'Cr4 Fe2 Hg2'
_space_group_name_H-M_alt 'C m m 2'
_space_group_IT_number 35
_cell_length_a 3.0573
_cell_length_b 4.4115
_cell_length_c 8.4487
_cell_angle_alpha 90.00
_cell_angle_beta 90.00
_cell_angle_gamma 90.00
loop_
_space_group_symop_operation_xyz
'x,y,z'
'-x,-y,z'
'-x,y,z'
'x,-y,z'
'x+1/2,y+1/2,z'
'-x+1/2,-y+1/2,z'
'-x+1/2,y+1/2,z'
'x+1/2,-y+1/2,z'
loop_
_atom_site_label
_atom_site_fract_x
_atom_site_fract_y
_atom_site_fract_z
_atom_site_occupancy
Cr1 0.0000 0.0000 0.0000 1
Cr2 0.0000 0.5000 0.2057 1
Fe1 0.0000 0.0000 0.4279 1
Hg1 0.0000 0.5000 0.7103 1
```

Results
As for the total energy: -6.53 eV/atom. The calculation puts the density of states at the Fermi level at 3.369 states/eV/f.u.

=====

[7]
A plane-wave DFT calculation with GGA-PBE was carried out for a relaxed structure of AlTl.

CIF file:
```
data_AlTl
_chemical_formula_sum 'Al8 Tl8'
_space_group_name_H-M_alt 'I -4 3 m'
_space_group_IT_number 217
_space_group_name_Hall 'I -4 2 3'
_cell_length_a 8.6562
_cell_length_b 8.6562
_cell_length_c 8.6562
_cell_angle_alpha 90.00
_cell_angle_beta 90.00
_cell_angle_gamma 90.00
loop_
_atom_site_label
_atom_site_fract_x
_atom_site_fract_y
_atom_site_fract_z
_atom_site_occupancy
Al1 0.1134 0.1134 0.1134 1
Tl1 0.2020 0.2020 0.7980 1
```

Results
As for the total energy: -2.56 eV/atom. The calculation puts the density of states at the Fermi level at 1.197 states/eV/f.u.

=====

[8]
A plane-wave DFT calculation with GGA-PBE was carried out for a relaxed structure of ThCdRhAu.

CIF file:
```
data_ThCdRhAu
_chemical_formula_sum 'Th4 Cd4 Rh4 Au4'
_space_group_name_H-M_alt 'F -4 3 m'
_space_group_IT_number 216
_space_group_name_Hall 'F -4 2 3'
_cell_length_a 7.0111
_cell_length_b 7.0111
_cell_length_c 7.0111
_cell_angle_alpha 90.00
_cell_angle_beta 90.00
_cell_angle_gamma 90.00
loop_
_atom_site_label
_atom_site_fract_x
_atom_site_fract_y
_atom_site_fract_z
_atom_site_occupancy
Th1 0.0000 0.0000 0.0000 1
Cd1 0.0000 0.0000 0.5000 1
Rh1 0.2500 0.2500 0.2500 1
Au1 0.2500 0.2500 0.7500 1
```

Results
As for the total energy: -5.26 eV/atom. The calculation puts the density of states at the Fermi level at 3.257 states/eV/f.u.

=====

Number 1: magnetization 0.0 μB/f.u., energy of formation from the pure elements 72 meV/atom. Number 2: magnetization 0.0 μB/f.u., energy of formation from the pure elements -589 meV/atom. Number 3: magnetization 12.6 μB/f.u., energy of formation from the pure elements -220 meV/atom. Number 4: magnetization 0.2 μB/f.u., energy of formation from the pure elements 21 meV/atom. Number 5: magnetization 2.4 μB/f.u., energy of formation from the pure elements 1125 meV/atom. Number 6: magnetization 2.3 μB/f.u., energy of formation from the pure elements 472 meV/atom. Number 7: magnetization 0.0 μB/f.u., energy of formation from the pure elements 494 meV/atom. Number 8: magnetization 0.0 μB/f.u., energy of formation from the pure elements -517 meV/atom.